Record 1
A relaxed structure of CdNi2Ir. Source: Alexandria, functional PBE.

Cell lengths 3.9679, 3.9679, 7.1011 Å; angles 90.00, 90.00, 90.00 degrees
Space group I4/mmm (No. 139)
Unique sites:
Cd: 0.0000 0.0000 0.0000
Ni: 0.0000 0.5000 0.2500
Ir: 0.0000 0.0000 0.5000

Results
- Size of the total moment: 0.96 μB per formula unit
- DOS at the Fermi energy: 11.8 states/eV/cell
- E_tot: -5.1462 eV per atom

Record 2
A relaxed structure of CdNi2Ir. Source: Alexandria, functional PBE.

Cell lengths 5.5938, 7.2007, 2.7402 Å; angles 90.00, 90.00, 90.00 degrees
Space group Cmmm (No. 65)
Unique sites:
Cd: 0.0000 0.0000 0.0000
Ni: 0.2500 0.2500 0.5000
Ir: 0.0000 0.5000 0.0000

Results
- Size of the total moment: 0.00 μB per formula unit
- DOS at the Fermi energy: 11.8 states/eV/cell
- E_tot: -5.2285 eV per atom

Record 3
A relaxed structure of Cd2NiIr2. Source: Alexandria, functional PBE.

Cell lengths 7.9194, 7.9194, 2.8645 Å; angles 90.00, 90.00, 90.00 degrees
Space group P4/mbm (No. 127)
Unique sites:
Cd: 0.1813 0.3187 0.0000
Ni: 0.0000 0.0000 0.0000
Ir: 0.1151 0.6151 0.5000

Results
- Size of the total moment: 0.93 μB per formula unit
- DOS at the Fermi energy: 16.5 states/eV/cell
- E_tot: -4.3782 eV per atom

Record 4
A relaxed structure of Cd2NiIr. Source: Alexandria, functional PBE.

Cell lengths 4.0741, 4.0741, 7.8693 Å; angles 90.00, 90.00, 90.00 degrees
Space group I-4m2 (No. 119)
Unique sites:
Cd: 0.0000 0.0000 0.0000
Cd: 0.0000 0.5000 0.2500
Ni: 0.0000 0.0000 0.5000
Ir: 0.0000 0.5000 0.7500

Results
- Size of the total moment: 0.27 μB per formula unit
- DOS at the Fermi energy: 10.2 states/eV/cell
- E_tot: -3.8972 eV per atom

Record 5
A relaxed structure of CdNi2Ir. Source: Alexandria, functional PBE.

Cell lengths 4.4759, 4.4759, 2.7590 Å; angles 90.00, 90.00, 90.00 degrees
Space group P4/mmm (No. 123)
Unique sites:
Cd: 0.0000 0.0000 0.0000
Ni: 0.0000 0.5000 0.5000
Ir: 0.5000 0.5000 0.0000

Results
- Size of the total moment: 0.00 μB per formula unit
- DOS at the Fermi energy: 4.1 states/eV/cell
- E_tot: -5.2035 eV per atom

Record 6
A relaxed structure of Cd2NiIr. Source: Alexandria, functional PBE.

Cell lengths 2.9469, 4.8052, 9.4864 Å; angles 90.00, 90.00, 90.00 degrees
Space group Cmm2 (No. 35)
Unique sites:
Cd: 0.0000 0.0000 0.0000
Cd: 0.0000 0.5000 0.2980
Ni: 0.0000 0.5000 0.7652
Ir: 0.0000 0.0000 0.5542

Results
- Size of the total moment: 0.28 μB per formula unit
- DOS at the Fermi energy: 9.6 states/eV/cell
- E_tot: -3.8399 eV per atom